NiTe2Pb3O9: optimized geometry, PBE with a Hubbard U.

As for the energy: -5.311 eV/atom. The calculation puts the density of states at the Fermi level at 1.234 states/eV/f.u. For the total magnetization, the calculation gives 1.864 μB/f.u. Its crystal system is trigonal. Its volume is 209.9 Å³ per cell.

The structure belongs to space group P-3m1 (No. 164); the cell edges are 5.8182, 5.8182 and 7.1613 Å and the angles 90.00°, 90.00° and 120.00°. The asymmetric unit holds Ni at (0.0000, 0.0000, 0.0000), Te at (0.3333, 0.6667, 0.6761), Pb at (0.0000, 0.0000, 0.5000), Pb at (0.3333, 0.6667, 0.1433), O at (0.0000, 0.5000, 0.5000) and O at (0.1718, 0.3437, 0.8356).